{"formula": "HoErMgRu", "functional": "GGA-PBE", "state": "relaxed", "energy_ev_per_cell": -20.9, "delta_e_f_ev_per_fu": -0.9, "polymorph_energy_ev_per_atom": 0.1012, "cell": [[-3.925, 2.911, 1.003], [-4.204, -2.008, 1.783], [-1.348, 0.827, 4.731]], "species": ["Ru", "Er", "Ho", "Mg"], "fractional_positions": [[0.750, 0.750, 0.750], [0.000, 0.000, 0.000], [0.500, 0.500, 0.500], [0.250, 0.250, 0.250]]}